# PBE Ba2HgC, relaxed
# Polymorph energy (0 for the lowest one) (meV per atom): 16
# Total energy (eV/atom): -3.52
# Crystal system: triclinic
# Magnetic moment (μB/f.u.): 0.00
data_Ba2HgC
_space_group_name_H-M_alt 'P -1'
_space_group_IT_number 2
_space_group_name_Hall '-P 1'
_cell_length_a 4.327
_cell_length_b 8.433
_cell_length_c 8.868
_cell_angle_alpha 109.49
_cell_angle_beta 104.02
_cell_angle_gamma 90.09
loop_
_atom_site_label
_atom_site_fract_x
_atom_site_fract_y
_atom_site_fract_z
Ba1 0.023 0.273 0.047
Ba2 0.287 0.266 0.578
Hg1 0.382 0.941 0.761
C1 0.460 0.462 0.921